No. 1
Computed, not measured: crystalline CaMg2Br at its relaxed geometry at the PBE-GGA level of DFT.

## Properties
Total moment   0.00 μB/atom
Electronic total energy   -8.006 eV for the cell shown
Excess energy over the best structure of this formula in the dataset   0.2693 eV/atom
Uncorrected formation energy   -0.286 eV/atom
SG   Pmmm (47)

Geometry as POSCAR:
```
CaMg2Br
1.0
3.795 0.000 0.000
0.000 5.744 0.000
0.000 0.000 5.812
Mg Br Ca
2 1 1
Direct
0.000 0.000 0.498
0.000 0.000 0.002
0.500 0.500 0.250
0.500 0.500 0.750
```

***

No. 2
Computed, not measured: crystalline Sr2CdO3 at its relaxed geometry at the PBE-GGA level of DFT.

## Properties
Total moment   0.00 μB/atom
Electronic total energy   -32.097 eV for the cell shown
Excess energy over the best structure of this formula in the dataset   0.0000 eV/atom
Uncorrected formation energy   -2.157 eV/atom
SG   Immm (71)

Geometry as POSCAR:
```
Sr2CdO3
1.0
3.334 0.000 -1.301
-0.929 4.436 -2.380
0.471 0.433 6.129
O Sr Cd
3 2 1
Direct
0.000 0.000 0.000
0.658 0.658 0.317
0.342 0.342 0.683
0.664 0.164 0.328
0.336 0.836 0.672
0.000 0.500 0.000
```

***

- Among the records above, which one has the lowest excess energy over the best structure of this formula in the dataset?
  Sr2CdO3

***

- The highest excess energy over the best structure of this formula in the dataset belongs to which entry?
  CaMg2Br

***

- Among the records above, which one has the lowest electronic total energy?
  Sr2CdO3